Compound: Cs3RbAu8
Source: the Alexandria database
Functional: GGA-PBE
Structure: relaxed

Cell: 6.0252 6.0252 30.6045 Å, 90.00 90.00 120.00°
With the nearest neighbours (Å) after each atom.
Space group R3m (No. 160, hexagonal axes)
One atom of each set of equivalent atoms:
Cs 0.0000 0.0000 0.0000 x3  12 Au 3.54-3.70, 4 Cs 3.70-3.83
Cs 0.0000 0.0000 0.1253 x3  12 Au 3.53-3.56, 3 Rb 3.71, 1 Cs 3.83
Cs 0.0000 0.0000 0.6251 x3  12 Au 3.53-3.70, 3 Cs 3.70, 1 Rb 3.81
Rb 0.0000 0.0000 0.5005 x3  12 Au 3.53-3.57, 4 Cs 3.71-3.81
Au 0.0000 0.0000 0.3122 x3  6 Au 3.13-3.15
Au 0.0000 0.0000 0.8132 x3  6 Au 3.02-3.05
Au 0.0025 0.5012 0.0650 x9  6 Au 2.99-3.15
Au 0.1675 0.3350 0.8936 x9  6 Au 3.00-3.13

Computed properties:
Calculated volume   962 Å³ per cell
Crystal system   trigonal
ΔE_f   -0.124 eV per atom
Magnetic moment   0.00 Bohr magnetons per cell